[1]
A plane-wave DFT calculation with PBE was carried out for Tb3Ga2Pd7 after structural relaxation.

Results
The calculation puts the total magnetization at 0.0 μB per formula unit. The value obtained for the energy of formation from the pure elements is -834 meV per atom.

Unit cell a=13.8869 b=13.8869 c=3.9800 alpha=90.00 beta=90.00 gamma=162.71
Closest atoms and distances in Å follow each position.
Fractional positions:
Tb (0.0000, 0.0000, 0.0000)  12 Pd 2.88-2.97
Tb (0.1829, 0.8171, 0.0000)  6 Pd 3.06-3.33, 4 Ga 3.23
Tb (0.8171, 0.1829, 0.0000)  6 Pd 3.06-3.33, 4 Ga 3.23
Ga (0.3697, 0.6303, 0.5000)  5 Pd 2.46-2.51
Ga (0.6303, 0.3697, 0.5000)  5 Pd 2.46-2.51
Pd (0.0797, 0.9203, 0.5000)  2 Ga 2.51
Pd (0.2802, 0.7198, 0.5000)  1 Ga 2.46, 2 Pd 2.66
Pd (0.4230, 0.5770, 0.0000)  2 Ga 2.47
Pd (0.5000, 0.5000, 0.5000)  4 Tb 2.88, 8 Pd 2.90-3.03
Pd (0.5770, 0.4230, 0.0000)  2 Ga 2.47
Pd (0.7198, 0.2802, 0.5000)  1 Ga 2.46, 2 Pd 2.66
Pd (0.9203, 0.0797, 0.5000)  2 Ga 2.51


[2]
A plane-wave DFT calculation with PBE was carried out for Tb2GaPd4 after structural relaxation.

Results
The calculation puts the total magnetization at 0.0 μB per formula unit. As for the offset from the most stable computed form: 208 meV/atom. The value obtained for the energy of formation from the pure elements is -483 meV per atom.

Unit cell a=8.1489 b=7.7040 c=4.8095 alpha=77.47 beta=67.35 gamma=35.18
Closest atoms and distances in Å follow each position.
Fractional positions:
Tb (0.1308, 0.1308, 0.8692)  7 Pd 2.78-3.05
Tb (0.8692, 0.8692, 0.1308)  7 Pd 2.78-3.05
Ga (0.5000, 0.5000, 0.5000)  6 Pd 2.40-2.51
Pd (0.0000, 0.0000, 0.5000)  2 Ga 2.40
Pd (0.3245, 0.3245, 0.6755)  1 Ga 2.51, 1 Tb 2.78
Pd (0.5000, 0.5000, 0.0000)  2 Ga 2.40
Pd (0.6755, 0.6755, 0.3245)  1 Ga 2.51, 1 Tb 2.78


[3]
A plane-wave DFT calculation with PBE was carried out for TbGaPd4 after structural relaxation.

Results
The calculation puts the total magnetization at 0.0 μB per formula unit. As for the offset from the most stable computed form: 33 meV/atom. The value obtained for the energy of formation from the pure elements is -607 meV per atom.

Unit cell a=5.3325 b=5.3325 c=5.3325 alpha=60.00 beta=60.00 gamma=60.00
Closest atoms and distances in Å follow each position.
Fractional positions:
Tb (0.0000, 0.0000, 0.0000)  12 Pd 3.13, 4 Ga 3.27
Ga (0.7500, 0.7500, 0.7500)  12 Pd 3.13, 4 Tb 3.27
Pd (0.3755, 0.3755, 0.3755)  6 Pd 2.66-2.68
Pd (0.3755, 0.3755, 0.8735)  6 Pd 2.66-2.68
Pd (0.3755, 0.8735, 0.3755)  6 Pd 2.66-2.68
Pd (0.8735, 0.3755, 0.3755)  6 Pd 2.66-2.68


[4]
A plane-wave DFT calculation with PBE was carried out for TbGa3Pd3 after structural relaxation.

Results
The calculation puts the total magnetization at 0.0 μB per formula unit. As for the offset from the most stable computed form: 383 meV/atom. The value obtained for the energy of formation from the pure elements is -267 meV per atom.

Unit cell a=6.7802 b=6.7802 c=6.7802 alpha=90.00 beta=90.00 gamma=90.00
Closest atoms and distances in Å follow each position.
Fractional positions:
Tb (0.0000, 0.0000, 0.0000)  12 Pd 3.79, 12 Ga 3.79
Tb (0.5000, 0.5000, 0.5000)  12 Pd 3.79, 12 Ga 3.79
Ga (0.0000, 0.2500, 0.5000)  4 Pd 2.40
Ga (0.0000, 0.7500, 0.5000)  4 Pd 2.40
Ga (0.2500, 0.5000, 0.0000)  4 Pd 2.40
Ga (0.5000, 0.0000, 0.2500)  4 Pd 2.40
Ga (0.5000, 0.0000, 0.7500)  4 Pd 2.40
Ga (0.7500, 0.5000, 0.0000)  4 Pd 2.40
Pd (0.0000, 0.5000, 0.2500)  4 Ga 2.40
Pd (0.0000, 0.5000, 0.7500)  4 Ga 2.40
Pd (0.2500, 0.0000, 0.5000)  4 Ga 2.40
Pd (0.5000, 0.2500, 0.0000)  4 Ga 2.40
Pd (0.5000, 0.7500, 0.0000)  4 Ga 2.40
Pd (0.7500, 0.0000, 0.5000)  4 Ga 2.40